CaGe2MoO8 | GGA+U | relaxed

Cell lengths 5.7441, 5.7441, 5.7441 Å; angles 106.93, 106.93, 114.68 degrees
Element x y z (fractional)
Ca 0.0000 0.0000 0.0000
Ge 0.5000 0.5000 0.0000
Ge 0.7500 0.2500 0.5000
Mo 0.2500 0.7500 0.5000
O 0.3216 0.1174 0.7958
O 0.3216 0.5258 0.2042
O 0.3652 0.0384 0.3268
O 0.4742 0.6784 0.7958
O 0.7116 0.0384 0.6732
O 0.8826 0.6784 0.2042
O 0.9616 0.2884 0.3268
O 0.9616 0.6348 0.6732

- Magnetic moment: 0.00 Bohr magnetons per cell
- SG: I-4m2 (119)
- DOS at the Fermi energy: 0.00 states/eV per cell
- Electronic total energy: -6.50 eV/atom